Record 1
The following is a DFT calculation (GGA-PBE) of AcHoBi2 after structural relaxation.

```
data_AcHoBi2
_chemical_formula_sum 'Ac1 Ho1 Bi2'
_cell_length_a 4.678
_cell_length_b 4.678
_cell_length_c 8.075
_cell_angle_alpha 73.13
_cell_angle_beta 73.13
_cell_angle_gamma 60.04
_space_group_name_H-M_alt 'P 1'
_space_group_IT_number 1
_space_group_name_Hall 'P 1'
loop_
_atom_site_label
_atom_site_fract_x
_atom_site_fract_y
_atom_site_fract_z
Ac1 0.500 0.500 0.500
Bi1 0.258 0.258 0.226
Bi2 0.742 0.742 0.774
Ho1 0.000 0.000 0.000
```

## Properties
energy above the most stable polymorph in this dataset: 0.0 meV per atom



Record 2
The following is a DFT calculation (GGA-PBE) of AcHoBi2 after structural relaxation.

```
data_AcHoBi2
_chemical_formula_sum 'Ac1 Ho1 Bi2'
_cell_length_a 4.620
_cell_length_b 4.620
_cell_length_c 8.434
_cell_angle_alpha 74.10
_cell_angle_beta 74.10
_cell_angle_gamma 60.00
_space_group_name_H-M_alt 'P 1'
_space_group_IT_number 1
_space_group_name_Hall 'P 1'
loop_
_atom_site_label
_atom_site_fract_x
_atom_site_fract_y
_atom_site_fract_z
Bi1 0.244 0.244 0.269
Bi2 0.089 0.089 0.732
Ho1 0.498 0.498 0.505
Ac1 0.669 0.669 0.994
```

## Properties
energy above the most stable polymorph in this dataset: 122.6 meV per atom



Record 3
The following is a DFT calculation (GGA-PBE) of AcHoBi2 after structural relaxation.

```
data_AcHoBi2
_chemical_formula_sum 'Ac1 Ho1 Bi2'
_cell_length_a 4.240
_cell_length_b 4.240
_cell_length_c 7.208
_cell_angle_alpha 90.00
_cell_angle_beta 90.00
_cell_angle_gamma 90.00
_space_group_name_H-M_alt 'P 1'
_space_group_IT_number 1
_space_group_name_Hall 'P 1'
loop_
_atom_site_label
_atom_site_fract_x
_atom_site_fract_y
_atom_site_fract_z
Ac1 0.500 0.500 0.000
Bi1 0.000 0.000 0.269
Bi2 0.000 0.000 0.731
Ho1 0.500 0.500 0.500
```

## Properties
energy above the most stable polymorph in this dataset: 244.3 meV per atom



Record 4
The following is a DFT calculation (GGA-PBE) of Ac2HoBi after structural relaxation.

```
data_Ac2HoBi
_chemical_formula_sum 'Ac2 Ho1 Bi1'
_cell_length_a 4.413
_cell_length_b 4.413
_cell_length_c 7.692
_cell_angle_alpha 90.00
_cell_angle_beta 90.00
_cell_angle_gamma 90.00
_space_group_name_H-M_alt 'P 1'
_space_group_IT_number 1
_space_group_name_Hall 'P 1'
loop_
_atom_site_label
_atom_site_fract_x
_atom_site_fract_y
_atom_site_fract_z
Bi1 0.500 0.500 0.000
Ac1 0.000 0.000 0.766
Ac2 0.000 0.000 0.234
Ho1 0.500 0.500 0.500
```

## Properties
energy above the most stable polymorph in this dataset: 0.0 meV per atom



no.,M_tot (μB per formula unit),energy of formation (eV per atom),density of states at the Fermi level (states/eV per cell)
1,0.000,-0.902,0.6
2,0.000,-0.780,0.4
3,0.000,-0.658,2.3
4,0.000,-0.328,4.3